LiPrHgPb after structural relaxation, computed with PBE.

Computed properties:
**E_form**: -1.82 eV/f.u.
**Symmetry**: F-43m (216)
**Size of the total moment**: 0.000 Bohr magnetons per cell
**Crystal system**: cubic
**E_tot**: -12.5 eV/cell

extended XYZ file:
```
4
Lattice="0.000 3.747 3.747 3.747 0.000 3.747 3.747 3.747 0.000" Properties=species:S:1:pos:R:3 pbc="T T T"
Li 0.000 0.000 0.000
Pr 3.747 3.747 3.747
Hg 5.620 5.620 5.620
Pb 1.873 1.873 1.873
```

RbLiHg2Pb after structural relaxation, computed with PBE.

Computed properties:
**E_form**: -0.39 eV/f.u.
**Symmetry**: P4/mmm (123)
**Size of the total moment**: 0.000 Bohr magnetons per cell
**Crystal system**: tetragonal
**E_tot**: -7.6 eV/cell
**Distance to the lowest polymorph of the same formula**: 2.25 kJ per mole of atoms

extended XYZ file:
```
5
Lattice="6.086 0.000 0.000 0.000 6.086 0.000 0.000 0.000 5.396" Properties=species:S:1:pos:R:3 pbc="T T T"
Rb 0.000 0.000 0.000
Li 3.043 3.043 0.000
Hg 0.000 3.043 2.698
Hg 3.043 0.000 2.698
Pb 3.043 3.043 2.698
```

RbLiHgPb2 after structural relaxation, computed with PBE.

Computed properties:
**E_form**: -0.17 eV/f.u.
**Symmetry**: P4/mmm (123)
**Size of the total moment**: 0.000 Bohr magnetons per cell
**Crystal system**: tetragonal
**E_tot**: -10.8 eV/cell

extended XYZ file:
```
5
Lattice="5.352 0.000 0.000 0.000 5.352 0.000 0.000 0.000 5.528" Properties=species:S:1:pos:R:3 pbc="T T T"
Rb 0.000 0.000 0.000
Li 2.676 2.676 2.764
Hg 2.676 2.676 0.000
Pb 0.000 2.676 2.764
Pb 2.676 0.000 2.764
```

RbLiHg2Pb after structural relaxation, computed with PBE.

Computed properties:
**E_form**: -0.50 eV/f.u.
**Symmetry**: P4/mmm (123)
**Size of the total moment**: 0.000 Bohr magnetons per cell
**Crystal system**: tetragonal
**E_tot**: -7.7 eV/cell
**Distance to the lowest polymorph of the same formula**: 0.00 kJ per mole of atoms

extended XYZ file:
```
5
Lattice="5.409 0.000 0.000 0.000 5.409 0.000 0.000 0.000 5.286" Properties=species:S:1:pos:R:3 pbc="T T T"
Rb 0.000 0.000 0.000
Li 2.705 2.705 2.643
Hg 0.000 2.705 2.643
Hg 2.705 0.000 2.643
Pb 2.705 2.705 0.000
```

LiHg2RhPb after structural relaxation, computed with PBE.

Computed properties:
**E_form**: 2.86 eV/f.u.
**Symmetry**: P4/mmm (123)
**Size of the total moment**: 0.000 Bohr magnetons per cell
**Crystal system**: tetragonal
**E_tot**: -10.7 eV/cell

extended XYZ file:
```
5
Lattice="4.707 0.000 0.000 0.000 4.707 0.000 0.000 0.000 5.014" Properties=species:S:1:pos:R:3 pbc="T T T"
Li 0.000 0.000 0.000
Hg 0.000 2.353 0.000
Hg 2.353 0.000 0.000
Rh 2.353 2.353 2.507
Pb 0.000 0.000 2.507
```

Li2Hg2Sb2Pb after structural relaxation, computed with PBE.

Computed properties:
**Symmetry**: R-3m (166)
**Size of the total moment**: 0.000 Bohr magnetons per cell
**Crystal system**: trigonal
**E_tot**: -18.0 eV/cell
**Uncorrected formation energy**: -0.226 eV/atom

extended XYZ file:
```
7
Lattice="2.430 1.403 8.505 -2.430 1.403 8.505 0.000 -2.806 8.505" Properties=species:S:1:pos:R:3 pbc="T T T"
Li 0.000 0.000 3.536
Li 0.000 0.000 21.979
Hg 0.000 0.000 11.321
Hg 0.000 0.000 14.194
Sb 0.000 0.000 6.681
Sb 0.000 0.000 18.834
Pb 0.000 0.000 0.000
```

Li5Sn2HgPb2 after structural relaxation, computed with PBE.

Computed properties:
**E_form**: -2.18 eV/f.u.
**Symmetry**: P4/mbm (127)
**Size of the total moment**: 0.000 Bohr magnetons per cell
**Crystal system**: tetragonal
**E_tot**: -55.0 eV/cell

extended XYZ file:
```
20
Lattice="11.709 0.000 0.000 0.000 11.709 0.000 0.000 0.000 3.277" Properties=species:S:1:pos:R:3 pbc="T T T"
Li 0.000 5.855 0.000
Li 0.219 2.287 0.000
Li 2.287 11.490 0.000
Li 3.568 5.635 0.000
Li 5.635 8.141 0.000
Li 5.855 0.000 0.000
Li 6.074 3.568 0.000
Li 8.141 6.074 0.000
Li 9.422 0.219 0.000
Li 11.490 9.422 0.000
Sn 1.672 4.183 1.638
Sn 4.183 10.037 1.638
Sn 7.526 1.672 1.638
Sn 10.037 7.526 1.638
Hg 0.000 0.000 1.638
Hg 5.855 5.855 1.638
Pb 1.964 7.819 1.638
Pb 3.890 1.964 1.638
Pb 7.819 9.745 1.638
Pb 9.745 3.890 1.638
```

Li4SnHg2Pb after structural relaxation, computed with PBE.

Computed properties:
**E_form**: -2.52 eV/f.u.
**Symmetry**: R-3m (166)
**Size of the total moment**: 0.000 Bohr magnetons per cell
**Crystal system**: trigonal
**E_tot**: -18.5 eV/cell

extended XYZ file:
```
8
Lattice="2.393 1.382 7.878 -2.393 1.382 7.878 0.000 -2.763 7.878" Properties=species:S:1:pos:R:3 pbc="T T T"
Li 0.000 0.000 2.912
Li 0.000 0.000 8.840
Li 0.000 0.000 14.796
Li 0.000 0.000 20.724
Sn 0.000 0.000 0.000
Hg 0.000 0.000 5.952
Hg 0.000 0.000 17.684
Pb 0.000 0.000 11.818
```

Li2SnHg2Pb after structural relaxation, computed with PBE.

Computed properties:
**E_form**: -1.27 eV/f.u.
**Symmetry**: P-3m1 (164)
**Size of the total moment**: 0.000 Bohr magnetons per cell
**Crystal system**: trigonal
**E_tot**: -13.4 eV/cell

extended XYZ file:
```
6
Lattice="4.831 0.000 0.000 -2.415 4.183 0.000 0.000 0.000 6.812" Properties=species:S:1:pos:R:3 pbc="T T T"
Li 0.000 2.789 1.490
Li 2.415 1.394 5.322
Sn 0.000 0.000 0.000
Hg 0.000 2.789 5.217
Hg 2.415 1.394 1.596
Pb 0.000 0.000 3.406
```

Li2SnHg5Pb2 after structural relaxation, computed with PBE.

Computed properties:
**E_form**: -0.91 eV/f.u.
**Symmetry**: P4/mbm (127)
**Size of the total moment**: 0.000 Bohr magnetons per cell
**Crystal system**: tetragonal
**E_tot**: -35.3 eV/cell

extended XYZ file:
```
20
Lattice="11.295 0.000 0.000 0.000 11.295 0.000 0.000 0.000 3.810" Properties=species:S:1:pos:R:3 pbc="T T T"
Li 1.407 4.241 0.000
Li 4.241 9.888 0.000
Li 7.054 1.407 0.000
Li 9.888 7.054 0.000
Sn 0.000 0.000 0.000
Sn 5.647 5.647 0.000
Hg 0.000 5.647 1.905
Hg 0.730 2.365 1.905
Hg 2.365 10.565 1.905
Hg 3.283 4.918 1.905
Hg 4.918 8.012 1.905
Hg 5.647 0.000 1.905
Hg 6.377 3.283 1.905
Hg 8.012 6.377 1.905
Hg 8.930 0.730 1.905
Hg 10.565 8.930 1.905
Pb 1.978 7.626 0.000
Pb 3.669 1.978 0.000
Pb 7.626 9.317 0.000
Pb 9.317 3.669 0.000
```

Li2SnHgPb after structural relaxation, computed with PBE.

Computed properties:
**E_form**: -0.94 eV/f.u.
**Symmetry**: P2_1/m (11)
**Size of the total moment**: 0.000 Bohr magnetons per cell
**Crystal system**: monoclinic
**E_tot**: -25.6 eV/cell

extended XYZ file:
```
10
Lattice="6.211 0.000 0.000 0.000 4.335 0.000 -1.392 0.000 8.594" Properties=species:S:1:pos:R:3 pbc="T T T"
Li 0.141 1.084 3.742
Li 0.897 1.084 0.847
Li 3.922 3.251 7.747
Li 4.678 3.251 4.852
Sn 0.841 3.251 7.826
Sn 3.978 1.084 0.768
Hg -0.772 1.084 6.427
Hg 5.591 3.251 2.167
Pb 2.382 3.251 2.896
Pb 2.436 1.084 5.698
```

Li4Sn2HgPb2 after structural relaxation, computed with PBE.

Computed properties:
**E_form**: -1.71 eV/f.u.
**Symmetry**: I4/mmm (139)
**Size of the total moment**: 0.000 Bohr magnetons per cell
**Crystal system**: tetragonal
**E_tot**: -25.1 eV/cell

extended XYZ file:
```
9
Lattice="-3.395 3.395 4.643 3.395 -3.395 4.643 3.395 3.395 -4.643" Properties=species:S:1:pos:R:3 pbc="T T T"
Li 1.511 1.511 0.000
Li 1.884 -1.884 4.643
Li -1.884 1.884 4.643
Li 1.884 1.884 4.643
Sn 0.000 0.000 1.932
Sn 0.000 0.000 7.353
Hg 0.000 0.000 4.643
Pb 3.395 0.000 2.321
Pb 0.000 3.395 2.321
```

SrLi2Hg2Pb2 after structural relaxation, computed with PBE.

Computed properties:
**E_form**: -2.37 eV/f.u.
**Symmetry**: R-3m (166)
**Size of the total moment**: 0.000 Bohr magnetons per cell
**Crystal system**: trigonal
**E_tot**: -15.9 eV/cell

extended XYZ file:
```
7
Lattice="2.443 1.411 8.947 -2.443 1.411 8.947 0.000 -2.821 8.947" Properties=species:S:1:pos:R:3 pbc="T T T"
Sr 0.000 0.000 0.000
Li 0.000 0.000 3.804
Li 0.000 0.000 23.038
Hg 0.000 0.000 11.914
Hg 0.000 0.000 14.928
Pb 0.000 0.000 6.906
Pb 0.000 0.000 19.936
```

Sr2Li3HgPb4 after structural relaxation, computed with PBE.

Computed properties:
**E_form**: -3.47 eV/f.u.
**Symmetry**: P-4m2 (115)
**Size of the total moment**: 0.000 Bohr magnetons per cell
**Crystal system**: tetragonal
**E_tot**: -27.7 eV/cell

extended XYZ file:
```
10
Lattice="4.856 0.000 0.000 0.000 4.856 0.000 0.000 0.000 11.722" Properties=species:S:1:pos:R:3 pbc="T T T"
Sr 0.000 2.428 2.918
Sr 2.428 0.000 8.804
Li 0.000 0.000 0.000
Li 0.000 2.428 7.313
Li 2.428 0.000 4.409
Hg 2.428 2.428 0.000
Pb 0.000 0.000 5.861
Pb 0.000 2.428 10.015
Pb 2.428 0.000 1.707
Pb 2.428 2.428 5.861
```

LiThHgPb after structural relaxation, computed with PBE.

Computed properties:
**E_form**: -0.97 eV/f.u.
**Symmetry**: F-43m (216)
**Size of the total moment**: 0.001 Bohr magnetons per cell
**Crystal system**: cubic
**E_tot**: -14.3 eV/cell

extended XYZ file:
```
4
Lattice="0.000 3.739 3.739 3.739 0.000 3.739 3.739 3.739 0.000" Properties=species:S:1:pos:R:3 pbc="T T T"
Li 0.000 0.000 0.000
Th 3.739 3.739 3.739
Hg 1.870 1.870 1.870
Pb 5.609 5.609 5.609
```

Li5Tl2Hg2Pb after structural relaxation, computed with PBE.

Computed properties:
**E_form**: -2.18 eV/f.u.
**Symmetry**: P4/mbm (127)
**Size of the total moment**: 0.000 Bohr magnetons per cell
**Crystal system**: tetragonal
**E_tot**: -41.6 eV/cell

extended XYZ file:
```
20
Lattice="11.012 0.000 0.000 0.000 11.012 0.000 0.000 0.000 3.640" Properties=species:S:1:pos:R:3 pbc="T T T"
Li 0.000 5.506 0.000
Li 0.978 2.038 0.000
Li 2.038 10.034 0.000
Li 3.468 4.528 0.000
Li 4.528 7.544 0.000
Li 5.506 0.000 0.000
Li 6.484 3.468 0.000
Li 7.544 6.484 0.000
Li 8.974 0.978 0.000
Li 10.034 8.974 0.000
Tl 1.825 7.331 1.820
Tl 3.681 1.825 1.820
Tl 7.331 9.187 1.820
Tl 9.187 3.681 1.820
Hg 1.447 4.059 1.820
Hg 4.059 9.565 1.820
Hg 6.953 1.447 1.820
Hg 9.565 6.953 1.820
Pb 0.000 0.000 1.820
Pb 5.506 5.506 1.820
```

LiTlHg2Pb after structural relaxation, computed with PBE.

Computed properties:
**E_form**: 0.23 eV/f.u.
**Symmetry**: P4/mmm (123)
**Size of the total moment**: 0.000 Bohr magnetons per cell
**Crystal system**: tetragonal
**E_tot**: -8.4 eV/cell

extended XYZ file:
```
5
Lattice="5.066 0.000 0.000 0.000 5.066 0.000 0.000 0.000 5.349" Properties=species:S:1:pos:R:3 pbc="T T T"
Li 0.000 0.000 0.000
Tl 2.533 2.533 2.674
Hg 0.000 2.533 0.000
Hg 2.533 0.000 0.000
Pb 0.000 0.000 2.674
```

Li2Tl2Hg4Pb3 after structural relaxation, computed with PBE.

Computed properties:
**E_form**: -1.08 eV/f.u.
**Symmetry**: P-3m1 (164)
**Size of the total moment**: 0.000 Bohr magnetons per cell
**Crystal system**: trigonal
**E_tot**: -22.0 eV/cell

extended XYZ file:
```
11
Lattice="4.957 0.000 0.000 -2.478 4.293 0.000 0.000 0.000 14.059" Properties=species:S:1:pos:R:3 pbc="T T T"
Li 0.000 2.862 1.526
Li 2.478 1.431 12.533
Tl 0.000 2.862 8.062
Tl 2.478 1.431 5.997
Hg 0.000 2.862 4.691
Hg 0.000 2.862 12.364
Hg 2.478 1.431 1.695
Hg 2.478 1.431 9.369
Pb 0.000 0.000 0.000
Pb 0.000 0.000 3.397
Pb 0.000 0.000 10.662
```

Li2TlHgPb after structural relaxation, computed with PBE.

Computed properties:
**E_form**: -0.85 eV/f.u.
**Symmetry**: P3m1 (156)
**Size of the total moment**: 0.000 Bohr magnetons per cell
**Crystal system**: trigonal
**E_tot**: -11.1 eV/cell

extended XYZ file:
```
5
Lattice="4.797 0.000 0.000 -2.399 4.154 0.000 0.000 0.000 5.841" Properties=species:S:1:pos:R:3 pbc="T T T"
Li 0.000 0.000 0.000
Li 0.000 2.770 4.049
Tl 0.000 2.770 1.193
Hg 0.000 0.000 2.947
Pb 2.399 1.385 4.942
```

Li5Tl2HgPb2 after structural relaxation, computed with PBE.

Computed properties:
**E_form**: -1.76 eV/f.u.
**Symmetry**: P4/mbm (127)
**Size of the total moment**: 0.000 Bohr magnetons per cell
**Crystal system**: tetragonal
**E_tot**: -47.6 eV/cell

extended XYZ file:
```
20
Lattice="11.010 0.000 0.000 0.000 11.010 0.000 0.000 0.000 3.751" Properties=species:S:1:pos:R:3 pbc="T T T"
Li 0.000 5.505 0.000
Li 0.200 2.146 0.000
Li 2.146 10.810 0.000
Li 3.359 5.305 0.000
Li 5.305 7.651 0.000
Li 5.505 0.000 0.000
Li 5.705 3.359 0.000
Li 7.651 5.705 0.000
Li 8.864 0.200 0.000
Li 10.810 8.864 0.000
Tl 1.515 3.990 1.875
Tl 3.990 9.495 1.875
Tl 7.020 1.515 1.875
Tl 9.495 7.020 1.875
Hg 0.000 0.000 1.875
Hg 5.505 5.505 1.875
Pb 1.823 7.328 1.875
Pb 3.682 1.823 1.875
Pb 7.328 9.187 1.875
Pb 9.187 3.682 1.875
```

LiTl2HgPb after structural relaxation, computed with PBE.

Computed properties:
**E_form**: 0.36 eV/f.u.
**Symmetry**: P4/mmm (123)
**Size of the total moment**: 0.000 Bohr magnetons per cell
**Crystal system**: tetragonal
**E_tot**: -10.3 eV/cell

extended XYZ file:
```
5
Lattice="5.234 0.000 0.000 0.000 5.234 0.000 0.000 0.000 5.225" Properties=species:S:1:pos:R:3 pbc="T T T"
Li 0.000 0.000 0.000
Tl 0.000 2.617 0.000
Tl 2.617 0.000 0.000
Hg 2.617 2.617 2.613
Pb 0.000 0.000 2.613
```

LiHgPb2W after structural relaxation, computed with PBE.

Computed properties:
**E_form**: 4.05 eV/f.u.
**Symmetry**: P4/mmm (123)
**Size of the total moment**: 1.037 Bohr magnetons per cell
**Crystal system**: tetragonal
**E_tot**: -18.5 eV/cell

extended XYZ file:
```
5
Lattice="5.417 0.000 0.000 0.000 5.417 0.000 0.000 0.000 5.409" Properties=species:S:1:pos:R:3 pbc="T T T"
Li 0.000 0.000 0.000
Hg 2.709 2.709 0.000
Pb 0.000 2.709 2.704
Pb 2.709 0.000 2.704
W 0.000 0.000 2.704
```

LiYHgPb2 after structural relaxation, computed with PBE.

Computed properties:
**E_form**: 0.70 eV/f.u.
**Symmetry**: P4/mmm (123)
**Size of the total moment**: 0.000 Bohr magnetons per cell
**Crystal system**: tetragonal
**E_tot**: -15.4 eV/cell

extended XYZ file:
```
5
Lattice="5.702 0.000 0.000 0.000 5.702 0.000 0.000 0.000 4.746" Properties=species:S:1:pos:R:3 pbc="T T T"
Li 0.000 0.000 0.000
Y 2.851 2.851 0.000
Hg 0.000 0.000 2.373
Pb 0.000 2.851 2.373
Pb 2.851 0.000 2.373
```

Li2ZnHg4Pb after structural relaxation, computed with PBE.

Computed properties:
**E_form**: -1.28 eV/f.u.
**Symmetry**: R-3m (166)
**Size of the total moment**: 0.000 Bohr magnetons per cell
**Crystal system**: trigonal
**E_tot**: -11.3 eV/cell

extended XYZ file:
```
8
Lattice="2.410 1.392 8.749 -2.410 1.392 8.749 0.000 -2.783 8.749" Properties=species:S:1:pos:R:3 pbc="T T T"
Li 0.000 0.000 6.380
Li 0.000 0.000 19.867
Zn 0.000 0.000 13.124
Hg 0.000 0.000 3.419
Hg 0.000 0.000 10.253
Hg 0.000 0.000 15.994
Hg 0.000 0.000 22.828
Pb 0.000 0.000 0.000
```